# MnTcRh2

Crystalline MnTcRh2 at its relaxed geometry (PBE, Alexandria via LeMat-Bulk).

Geometry as CIF:
```
data_MnTcRh2
_chemical_formula_sum 'Mn1 Tc1 Rh2'
_symmetry_space_group_name_H-M 'P 1'
_symmetry_Int_Tables_number 1
_cell_length_a 4.665
_cell_length_b 4.665
_cell_length_c 4.665
_cell_angle_alpha 131.80
_cell_angle_beta 131.80
_cell_angle_gamma 70.55
loop_
_symmetry_equiv_pos_as_xyz
'x,y,z'
loop_
_atom_site_label
_atom_site_type_symbol
_atom_site_fract_x
_atom_site_fract_y
_atom_site_fract_z
_atom_site_occupancy
Mn1 Mn 0.000 0.000 0.000 1
Tc1 Tc 0.750 0.250 0.500 1
Rh1 Rh 0.250 0.750 0.500 1
Rh2 Rh 0.500 0.500 0.000 1
```

The distance to the lowest polymorph of the same formula is 1.34 kcal/mol of atoms. Its formation energy is -0.04 eV per atom. The density comes out at 10774 kg/m3. As for the size of the total moment: 1.85 Bohr magnetons per cell. Its space group is I-4m2. The value obtained for the calculated total energy is -8.602 eV/atom.